VASP calculation (GGA-PBEsol) on crystalline Mn3Cl at its relaxed geometry.

Values from the calculation:
Total magnetic moment ... 5.073 μB/f.u.
SG ... P4/mmm (123)
Energy ... -7.48 eV per atom
Crystal system ... tetragonal
ΔE_f (raw) ... 0.34 eV per atom

Cell: 2.7834 2.7834 6.9563 Å, 90.00 90.00 90.00°
With the nearest neighbours (Å) after each atom.
Sites, in units of the cell vectors:
Mn (0.5000, 0.5000, 0.2754)  8 Mn 2.51-2.78, 4 Cl 2.75
Mn (0.0000, 0.0000, 0.5000)  12 Mn 2.51-2.78
Mn (0.5000, 0.5000, 0.7246)  8 Mn 2.51-2.78, 4 Cl 2.75
Cl (0.0000, 0.0000, 0.0000)  8 Mn 2.75, 4 Cl 2.78